An optimized crystal structure of MgNi2HPt, computed with PBE-GGA.

Computed properties:
Its total energy is -4.799 eV/atom. The space-group type is P4/mmm, No. 123.

Unit cell a=3.781 b=3.781 c=3.903 alpha=90.00 beta=90.00 gamma=90.00
Positions (direct):
Mg 0.000 0.000 0.000
Ni 0.000 0.500 0.500
Ni 0.500 0.000 0.500
H 0.500 0.500 0.500
Pt 0.500 0.500 0.000